Ca2BeRe: relaxed, PBE.

a = 4.399 Å, b = 4.399 Å, c = 8.155 Å
α = 90.00°, β = 90.00°, γ = 90.00°
Space group I-4m2 (No. 119)
Inequivalent atoms, fractional coordinates:
Ca 0.000 0.000 0.000 (multiplicity 2)
Ca 0.000 0.500 0.250 (multiplicity 2)
Be 0.000 0.000 0.500 (multiplicity 2)
Re 0.000 0.500 0.750 (multiplicity 2)

Summary:
Total DFT energy (no corrections), Ry per atom: -0.3072
DFT formation energy, eV/atom: 0.865
ρ, g cm⁻³: 5.80

Ca2BeRe: relaxed, PBE.

a = 4.134 Å, b = 4.134 Å, c = 4.554 Å
α = 90.00°, β = 90.00°, γ = 90.00°
Space group P4/mmm (No. 123)
Inequivalent atoms, fractional coordinates:
Ca 0.000 0.500 0.000 (multiplicity 2)
Be 0.000 0.000 0.500 (multiplicity 1)
Re 0.500 0.500 0.500 (multiplicity 1)

Summary:
Total DFT energy (no corrections), Ry per atom: -0.3051
DFT formation energy, eV/atom: 0.894
ρ, g cm⁻³: 5.88

CaBe4Re: relaxed, PBE.

a = 6.629 Å, b = 6.629 Å, c = 6.629 Å
α = 90.00°, β = 90.00°, γ = 90.00°
Space group F-43m (No. 216)
Inequivalent atoms, fractional coordinates:
Ca 0.000 0.000 0.000 (multiplicity 4)
Be 0.120 0.120 0.380 (multiplicity 16)
Re 0.250 0.250 0.750 (multiplicity 4)

Summary:
Total DFT energy (no corrections), Ry per atom: -0.3379
DFT formation energy, eV/atom: 0.294
ρ, g cm⁻³: 5.98

Ca2BeRe: relaxed, PBE.

a = 3.265 Å, b = 3.252 Å, c = 8.292 Å
α = 90.00°, β = 90.08°, γ = 90.00°
Space group Pm (No. 6)
Inequivalent atoms, fractional coordinates:
Ca 0.000 0.000 0.000 (multiplicity 1)
Ca 0.499 0.500 0.595 (multiplicity 1)
Be 0.001 0.000 0.326 (multiplicity 1)
Re 0.501 0.500 0.258 (multiplicity 1)

Summary:
Total DFT energy (no corrections), Ry per atom: -0.3468
DFT formation energy, eV/atom: 0.326
ρ, g cm⁻³: 5.19

CaBeRe: relaxed, PBE.

a = 6.050 Å, b = 6.050 Å, c = 6.050 Å
α = 90.00°, β = 90.00°, γ = 90.00°
Space group F-43m (No. 216)
Inequivalent atoms, fractional coordinates:
Ca 0.000 0.000 0.000 (multiplicity 4)
Be 0.250 0.250 0.250 (multiplicity 4)
Re 0.000 0.000 0.500 (multiplicity 4)

Summary:
Relative energy among the computed polymorphs, eV per atom: 0.741
Total DFT energy (no corrections), Ry per atom: -0.3636
DFT formation energy, eV/atom: 1.112
ρ, g cm⁻³: 7.06

Ca2BeRe: relaxed, PBE.

a = 3.407 Å, b = 4.959 Å, c = 10.006 Å
α = 90.00°, β = 90.00°, γ = 90.00°
Space group Imm2 (No. 44)
Inequivalent atoms, fractional coordinates:
Ca 0.000 0.000 0.000 (multiplicity 2)
Ca 0.000 0.500 0.203 (multiplicity 2)
Be 0.000 0.000 0.435 (multiplicity 2)
Re 0.000 0.500 0.791 (multiplicity 2)

Summary:
Total DFT energy (no corrections), Ry per atom: -0.3338
DFT formation energy, eV/atom: 0.503
ρ, g cm⁻³: 5.41

CaBeRe: relaxed, PBE.

a = 4.5851 Å, b = 4.5851 Å, c = 2.7577 Å
α = 90.00°, β = 90.00°, γ = 120.00°
Space group P3m1 (No. 156)
Inequivalent atoms, fractional coordinates:
Ca 0.0000 0.0000 0.0000 (multiplicity 1)
Be 0.3333 0.6667 0.5048 (multiplicity 1)
Re 0.6667 0.3333 0.4964 (multiplicity 1)

Summary:
Relative energy among the computed polymorphs, eV per atom: 0.376
Total DFT energy (no corrections), Ry per atom: -0.3904
DFT formation energy, eV/atom: 0.747
ρ, g cm⁻³: 7.78

Ca2BeRe: relaxed, PBE.

a = 10.052 Å, b = 2.959 Å, c = 5.379 Å
α = 90.00°, β = 100.07°, γ = 90.00°
Space group C2/m (No. 12)
Inequivalent atoms, fractional coordinates:
Ca 0.242 0.000 0.250 (multiplicity 4)
Be 0.000 0.500 0.000 (multiplicity 2)
Re 0.000 0.000 0.500 (multiplicity 2)

Summary:
Total DFT energy (no corrections), Ry per atom: -0.2962
DFT formation energy, eV/atom: 1.015
ρ, g cm⁻³: 5.81

CaBe3Re: relaxed, PBE.

a = 4.189 Å, b = 4.189 Å, c = 4.189 Å
α = 90.00°, β = 90.00°, γ = 90.00°
Space group Pm-3m (No. 221)
Inequivalent atoms, fractional coordinates:
Ca 0.000 0.000 0.000 (multiplicity 1)
Be 0.000 0.000 0.500 (multiplicity 3)
Re 0.500 0.500 0.500 (multiplicity 1)

Summary:
Relative energy among the computed polymorphs, eV per atom: 2.177
Total DFT energy (no corrections), Ry per atom: -0.1854
DFT formation energy, eV/atom: 2.603
ρ, g cm⁻³: 5.72

Ca2BeRe: relaxed, PBE.

a = 3.1164 Å, b = 3.1164 Å, c = 29.3374 Å
α = 90.00°, β = 90.00°, γ = 120.00°
Space group R-3m (No. 166, hexagonal axes)
Inequivalent atoms, fractional coordinates:
Ca 0.0000 0.0000 0.2495 (multiplicity 6)
Be 0.0000 0.0000 0.5000 (multiplicity 3)
Re 0.0000 0.0000 0.0000 (multiplicity 3)

Summary:
Total DFT energy (no corrections), Ry per atom: -0.2969
DFT formation energy, eV/atom: 1.004
ρ, g cm⁻³: 5.56

CaBe3Re: relaxed, PBE.

a = 4.381 Å, b = 4.381 Å, c = 4.381 Å
α = 90.00°, β = 90.00°, γ = 90.00°
Space group Pm-3m (No. 221)
Inequivalent atoms, fractional coordinates:
Ca 0.000 0.000 0.000 (multiplicity 1)
Be 0.000 0.500 0.500 (multiplicity 3)
Re 0.500 0.500 0.500 (multiplicity 1)

Summary:
Relative energy among the computed polymorphs, eV per atom: 0.000
Total DFT energy (no corrections), Ry per atom: -0.3455
DFT formation energy, eV/atom: 0.425
ρ, g cm⁻³: 5.00

CaBeRe: relaxed, PBE.

a = 6.472 Å, b = 6.472 Å, c = 6.472 Å
α = 90.00°, β = 90.00°, γ = 90.00°
Space group F-43m (No. 216)
Inequivalent atoms, fractional coordinates:
Ca 0.000 0.000 0.000 (multiplicity 4)
Be 0.250 0.250 0.250 (multiplicity 4)
Re 0.250 0.250 0.750 (multiplicity 4)

Summary:
Relative energy among the computed polymorphs, eV per atom: 1.706
Total DFT energy (no corrections), Ry per atom: -0.2927
DFT formation energy, eV/atom: 2.077
ρ, g cm⁻³: 5.76

Ca2BeRe: relaxed, PBE.

a = 3.905 Å, b = 3.905 Å, c = 20.321 Å
α = 90.00°, β = 90.00°, γ = 90.00°
Space group I-42d (No. 122)
Inequivalent atoms, fractional coordinates:
Ca 0.243 0.250 0.125 (multiplicity 8)
Be 0.000 0.000 0.000 (multiplicity 4)
Re 0.000 0.000 0.500 (multiplicity 4)

Summary:
Total DFT energy (no corrections), Ry per atom: -0.2817
DFT formation energy, eV/atom: 1.212
ρ, g cm⁻³: 5.90

Ca2BeRe: relaxed, PBE.

a = 2.882 Å, b = 2.882 Å, c = 9.468 Å
α = 90.00°, β = 90.00°, γ = 90.00°
Space group P4/mmm (No. 123)
Inequivalent atoms, fractional coordinates:
Ca 0.000 0.000 0.240 (multiplicity 2)
Be 0.500 0.500 0.000 (multiplicity 1)
Re 0.500 0.500 0.500 (multiplicity 1)

Summary:
Total DFT energy (no corrections), Ry per atom: -0.3117
DFT formation energy, eV/atom: 0.804
ρ, g cm⁻³: 5.82

Ca2BeRe: relaxed, PBE.

a = 4.163 Å, b = 4.178 Å, c = 9.031 Å
α = 90.00°, β = 90.00°, γ = 90.00°
Space group Immm (No. 71)
Inequivalent atoms, fractional coordinates:
Ca 0.000 0.000 0.249 (multiplicity 4)
Be 0.000 0.500 0.500 (multiplicity 2)
Re 0.000 0.500 0.000 (multiplicity 2)

Summary:
Total DFT energy (no corrections), Ry per atom: -0.3061
DFT formation energy, eV/atom: 0.880
ρ, g cm⁻³: 5.82

Ca4BeRe: relaxed, PBE.

a = 8.611 Å, b = 8.611 Å, c = 8.611 Å
α = 90.00°, β = 90.00°, γ = 90.00°
Space group F-43m (No. 216)
Inequivalent atoms, fractional coordinates:
Ca 0.124 0.124 0.124 (multiplicity 16)
Be 0.000 0.000 0.500 (multiplicity 4)
Re 0.250 0.250 0.750 (multiplicity 4)

Summary:
Total DFT energy (no corrections), Ry per atom: -0.1939
DFT formation energy, eV/atom: 1.392
ρ, g cm⁻³: 3.70

CaBeRe2Rh: relaxed, PBE.

a = 4.621 Å, b = 4.621 Å, c = 4.613 Å
α = 90.00°, β = 90.00°, γ = 90.00°
Space group P4/mmm (No. 123)
Inequivalent atoms, fractional coordinates:
Ca 0.000 0.000 0.000 (multiplicity 1)
Be 0.500 0.500 0.500 (multiplicity 1)
Re 0.000 0.500 0.000 (multiplicity 2)
Rh 0.000 0.000 0.500 (multiplicity 1)

Summary:
Total DFT energy (no corrections), Ry per atom: -0.3364
DFT formation energy, eV/atom: 3.017
ρ, g cm⁻³: 8.84

SrCaBe2Re: relaxed, PBE.

a = 4.700 Å, b = 4.700 Å, c = 5.039 Å
α = 90.00°, β = 90.00°, γ = 90.00°
Space group P4/mmm (No. 123)
Inequivalent atoms, fractional coordinates:
Sr 0.000 0.000 0.000 (multiplicity 1)
Ca 0.500 0.500 0.000 (multiplicity 1)
Be 0.000 0.500 0.500 (multiplicity 2)
Re 0.500 0.500 0.500 (multiplicity 1)

Summary:
Total DFT energy (no corrections), Ry per atom: -0.2947
DFT formation energy, eV/atom: 0.707
ρ, g cm⁻³: 4.95

Ca2BeRh: relaxed, PBE.

a = 3.237 Å, b = 3.248 Å, c = 8.217 Å
α = 90.00°, β = 90.00°, γ = 90.00°
Space group Pmm2 (No. 25)
Inequivalent atoms, fractional coordinates:
Ca 0.000 0.000 0.000 (multiplicity 1)
Ca 0.500 0.500 0.402 (multiplicity 1)
Be 0.500 0.500 0.741 (multiplicity 1)
Rh 0.000 0.000 0.659 (multiplicity 1)

Summary:
Total DFT energy (no corrections), Ry per atom: -0.2911
DFT formation energy, eV/atom: -0.190
ρ, g cm⁻³: 3.69

Ca2BeRh: relaxed, PBE.

a = 3.5462 Å, b = 3.5462 Å, c = 25.2124 Å
α = 90.00°, β = 90.00°, γ = 120.00°
Space group R-3m (No. 166, hexagonal axes)
Inequivalent atoms, fractional coordinates:
Ca 0.0000 0.0000 0.2457 (multiplicity 6)
Be 0.0000 0.0000 0.0000 (multiplicity 3)
Rh 0.0000 0.0000 0.5000 (multiplicity 3)

Summary:
Total DFT energy (no corrections), Ry per atom: -0.2518
DFT formation energy, eV/atom: 0.344
ρ, g cm⁻³: 3.48

CaBe2Rh: relaxed, PBE.

a = 3.049 Å, b = 3.539 Å, c = 5.947 Å
α = 90.00°, β = 104.74°, γ = 90.00°
Space group Pm (No. 6)
Inequivalent atoms, fractional coordinates:
Ca 0.000 0.000 0.000 (multiplicity 1)
Be 0.246 0.000 0.485 (multiplicity 1)
Be 0.343 0.500 0.686 (multiplicity 1)
Rh 0.701 0.500 0.398 (multiplicity 1)

Summary:
Relative energy among the computed polymorphs, eV per atom: 0.219
Total DFT energy (no corrections), Ry per atom: -0.3178
DFT formation energy, eV/atom: -0.123
ρ, g cm⁻³: 4.31

CaBe2Rh: relaxed, PBE.

a = 6.125 Å, b = 6.125 Å, c = 6.125 Å
α = 90.00°, β = 90.00°, γ = 90.00°
Space group Fm-3m (No. 225)
Inequivalent atoms, fractional coordinates:
Ca 0.000 0.000 0.000 (multiplicity 4)
Be 0.250 0.250 0.250 (multiplicity 8)
Rh 0.000 0.000 0.500 (multiplicity 4)

Summary:
Relative energy among the computed polymorphs, eV per atom: 0.413
Total DFT energy (no corrections), Ry per atom: -0.3036
DFT formation energy, eV/atom: 0.071
ρ, g cm⁻³: 4.65

Ca2BeRh: relaxed, PBE.

a = 3.888 Å, b = 4.374 Å, c = 10.763 Å
α = 90.00°, β = 90.00°, γ = 90.00°
Space group Amm2 (No. 38)
Inequivalent atoms, fractional coordinates:
Ca 0.000 0.000 0.000 (multiplicity 2)
Ca 0.500 0.000 0.283 (multiplicity 2)
Be 0.500 0.000 0.593 (multiplicity 2)
Rh 0.000 0.000 0.689 (multiplicity 2)

Summary:
Total DFT energy (no corrections), Ry per atom: -0.2975
DFT formation energy, eV/atom: -0.277
ρ, g cm⁻³: 3.48

Ca2BeRh: relaxed, PBE.

a = 4.348 Å, b = 4.348 Å, c = 18.876 Å
α = 90.00°, β = 90.00°, γ = 90.00°
Space group I-42d (No. 122)
Inequivalent atoms, fractional coordinates:
Ca 0.240 0.250 0.125 (multiplicity 8)
Be 0.000 0.000 0.500 (multiplicity 4)
Rh 0.000 0.000 0.000 (multiplicity 4)

Summary:
Total DFT energy (no corrections), Ry per atom: -0.2312
DFT formation energy, eV/atom: 0.625
ρ, g cm⁻³: 3.57

CaBe2Rh: relaxed, PBE.

a = 3.045 Å, b = 3.045 Å, c = 6.522 Å
α = 90.00°, β = 90.00°, γ = 90.00°
Space group P4mm (No. 99)
Inequivalent atoms, fractional coordinates:
Ca 0.000 0.000 0.000 (multiplicity 1)
Be 0.000 0.000 0.480 (multiplicity 1)
Be 0.500 0.500 0.662 (multiplicity 1)
Rh 0.500 0.500 0.329 (multiplicity 1)

Summary:
Relative energy among the computed polymorphs, eV per atom: 0.282
Total DFT energy (no corrections), Ry per atom: -0.3132
DFT formation energy, eV/atom: -0.060
ρ, g cm⁻³: 4.42

Ca2BeRh: relaxed, PBE.

a = 3.9216 Å, b = 3.9216 Å, c = 22.4823 Å
α = 90.00°, β = 90.00°, γ = 120.00°
Space group R3m (No. 160, hexagonal axes)
Inequivalent atoms, fractional coordinates:
Ca 0.0000 0.0000 0.0000 (multiplicity 3)
Ca 0.0000 0.0000 0.1760 (multiplicity 3)
Be 0.0000 0.0000 0.4213 (multiplicity 3)
Rh 0.0000 0.0000 0.7548 (multiplicity 3)

Summary:
Total DFT energy (no corrections), Ry per atom: -0.3031
DFT formation energy, eV/atom: -0.354
ρ, g cm⁻³: 3.20

Ca2BeRh: relaxed, PBE.

a = 4.303 Å, b = 4.303 Å, c = 8.629 Å
α = 90.00°, β = 90.00°, γ = 90.00°
Space group I-4m2 (No. 119)
Inequivalent atoms, fractional coordinates:
Ca 0.000 0.000 0.000 (multiplicity 2)
Ca 0.000 0.500 0.250 (multiplicity 2)
Be 0.000 0.000 0.500 (multiplicity 2)
Rh 0.000 0.500 0.750 (multiplicity 2)

Summary:
Total DFT energy (no corrections), Ry per atom: -0.2681
DFT formation energy, eV/atom: 0.122
ρ, g cm⁻³: 3.99

Ca2BeRh: relaxed, PBE.

a = 3.692 Å, b = 4.506 Å, c = 10.982 Å
α = 90.00°, β = 90.00°, γ = 90.00°
Space group Imm2 (No. 44)
Inequivalent atoms, fractional coordinates:
Ca 0.000 0.000 0.000 (multiplicity 2)
Ca 0.000 0.500 0.228 (multiplicity 2)
Be 0.000 0.000 0.423 (multiplicity 2)
Rh 0.000 0.500 0.820 (multiplicity 2)

Summary:
Total DFT energy (no corrections), Ry per atom: -0.2914
DFT formation energy, eV/atom: -0.194
ρ, g cm⁻³: 3.49

CaBe2Rh: relaxed, PBE.

a = 3.8576 Å, b = 3.8576 Å, c = 15.6334 Å
α = 90.00°, β = 90.00°, γ = 120.00°
Space group R3m (No. 160, hexagonal axes)
Inequivalent atoms, fractional coordinates:
Ca 0.0000 0.0000 0.0000 (multiplicity 3)
Be 0.0000 0.0000 0.1840 (multiplicity 3)
Be 0.0000 0.0000 0.5054 (multiplicity 3)
Rh 0.0000 0.0000 0.8094 (multiplicity 3)

Summary:
Relative energy among the computed polymorphs, eV per atom: 0.002
Total DFT energy (no corrections), Ry per atom: -0.3338
DFT formation energy, eV/atom: -0.340
ρ, g cm⁻³: 3.98

CaBe2Rh: relaxed, PBE.

a = 6.735 Å, b = 3.890 Å, c = 5.528 Å
α = 90.00°, β = 114.04°, γ = 90.00°
Space group C2/m (No. 12)
Inequivalent atoms, fractional coordinates:
Ca 0.000 0.000 0.000 (multiplicity 2)
Be 0.188 0.000 0.565 (multiplicity 4)
Rh 0.000 0.500 0.500 (multiplicity 2)

Summary:
Relative energy among the computed polymorphs, eV per atom: 0.000
Total DFT energy (no corrections), Ry per atom: -0.3339
DFT formation energy, eV/atom: -0.342
ρ, g cm⁻³: 4.04

Number 1: spin magnetization 0.028 μB per atom. Number 2: spin magnetization 0.000 μB per atom. Number 3: spin magnetization 0.378 μB per atom. Number 4: spin magnetization 0.000 μB per atom. Number 5: spin magnetization 0.389 μB per atom. Number 6: spin magnetization 0.000 μB per atom. Number 7: spin magnetization 0.000 μB per atom. Number 8: spin magnetization 0.000 μB per atom. Number 9: spin magnetization 0.000 μB per atom. Number 10: spin magnetization 0.197 μB per atom. Number 11: spin magnetization 0.000 μB per atom. Number 12: spin magnetization 0.945 μB per atom. Number 13: spin magnetization 0.000 μB per atom. Number 14: spin magnetization 0.000 μB per atom. Number 15: spin magnetization 0.000 μB per atom. Number 16: spin magnetization 0.404 μB per atom. Number 17: spin magnetization 0.269 μB per atom. Number 18: spin magnetization 0.000 μB per atom. Number 19: spin magnetization 0.000 μB per atom. Number 20: spin magnetization 0.000 μB per atom. Number 21: spin magnetization 0.000 μB per atom. Number 22: spin magnetization 0.000 μB per atom. Number 23: spin magnetization 0.000 μB per atom. Number 24: spin magnetization 0.000 μB per atom. Number 25: spin magnetization 0.000 μB per atom. Number 26: spin magnetization 0.000 μB per atom. Number 27: spin magnetization 0.000 μB per atom. Number 28: spin magnetization 0.000 μB per atom. Number 29: spin magnetization 0.000 μB per atom. Number 30: spin magnetization 0.000 μB per atom.